Entry 1:
LaBe2Se, relaxed, DFT PBE; total energy = -0.14835 Ha/atom; calculated density = 5.28 g/cm3; formation energy (no corrections) = -71 meV/atom; D(E_F) = 0.507 states/eV/atom
1.0
4.5177 -0.0320 0.0201
3.0862 3.2995 0.0201
1.3767 0.5916 4.9511
Be Se La
2 1 1
direct
0.0188 0.0188 0.8687
0.4812 0.4812 0.6313
0.7500 0.7500 0.7500
0.2500 0.2500 0.2500


Entry 2:
Fe2Pd5Rh2, relaxed, DFT PBE; energy of formation = 149 meV per atom; total energy = -0.22970 Ha/atom; calculated density = 10.31 g/cm3; D(E_F) = 1.191 states/eV/atom
1.0
0.6231 6.4697 -9.8238
-0.8244 -3.8170 -2.5661
-4.7866 -0.4503 6.4619
Fe Pd Rh
4 10 4
direct
0.0000 0.9925 0.0000
0.5000 0.4925 0.0000
0.7277 0.8141 0.5000
0.2723 0.3141 0.5000
0.7721 0.8879 0.2174
0.2279 0.6705 0.7826
0.9453 0.3879 0.2174
0.0547 0.1705 0.7826
0.6854 0.8556 0.7720
0.3146 0.0837 0.2280
0.5866 0.3556 0.7720
0.4134 0.5837 0.2280
0.1113 0.0064 0.5000
0.8887 0.5064 0.5000
0.8261 0.3974 0.7696
0.1739 0.6279 0.2305
0.4434 0.8974 0.7696
0.5566 0.1279 0.2305


Entry 3:
CeSn4Bi, relaxed, DFT PBE; energy of formation = -160 meV per atom; total energy = -0.16406 Ha/atom; calculated density = 8.04 g/cm3; D(E_F) = 1.430 states/eV/atom
1.0
-4.9951 -3.6712 -0.5251
0.7139 -6.1079 -0.9426
-1.3888 -4.0300 4.5315
Bi Ce Sn
1 1 4
direct
0.0000 0.0000 0.0000
0.2500 0.2500 0.2500
0.6250 0.6250 0.1251
0.6250 0.1251 0.6250
0.6250 0.6250 0.6250
0.1251 0.6250 0.6250


Entry 4:
Sr2MnMo, relaxed, DFT PBE; ΔE to the lowest computed polymorph = 184 meV/atom; energy of formation = 652 meV per atom; total energy = -0.19071 Ha/atom; calculated density = 4.60 g/cm3; D(E_F) = 0.963 states/eV/atom
1.0
9.5712 0.5558 -0.1829
7.9705 5.3279 0.1829
-8.7158 -3.1061 2.5174
Mn Mo Sr
1 1 2
direct
0.7500 0.2500 0.5000
0.2500 0.7500 0.5000
0.9016 0.9016 0.0000
0.5984 0.5984 0.0000


Entry 5:
TlNiBiPb2, relaxed, DFT PBE; ΔE to the lowest computed polymorph = 0 meV/atom; energy of formation = 100 meV per atom; total energy = -0.13926 Ha/atom; calculated density = 10.41 g/cm3; D(E_F) = 0.684 states/eV/atom
1.0
-4.6063 2.2546 1.1796
0.5852 -1.4355 5.0288
2.4024 4.3979 0.9758
Pb Ni Tl Bi
2 1 1 1
direct
0.0000 0.5000 0.0000
0.5000 0.0000 0.0000
0.0000 0.0000 0.0000
0.0000 0.0000 0.5000
0.5000 0.5000 0.5000


Entry 6:
Mn2AlBiOs, relaxed, DFT PBE; energy of formation = 1036 meV per atom; total energy = -0.23529 Ha/atom; calculated density = 7.09 g/cm3; D(E_F) = 0.812 states/eV/atom
1.0
-4.1120 -1.7686 2.0972
-0.0215 -3.9088 -3.3385
2.7433 -2.6793 3.1193
Mn Os Bi Al
2 1 1 1
direct
0.0000 0.0000 0.5000
0.5000 0.0000 0.0000
0.0000 0.0000 0.0000
0.0000 0.5000 0.0000
0.5000 0.5000 0.5000